(1)
## SrCaAl2N (PBE)

Data for an optimized crystal structure of SrCaAl2N.

Geometry as POSCAR:
```
SrCaAl2N
1.0
5.8993 0.0000 0.0000
0.0000 4.4045 0.0000
0.0000 0.0000 5.8993
Sr Ca Al N
1 1 2 1
Cartesian
0.0000 0.0000 0.0000
2.9497 2.2023 2.9497
0.0000 0.0000 2.9497
2.9497 0.0000 0.0000
0.0000 2.2023 0.0000
```

Values from the calculation:
Uncorrected formation energy ... 23.35 kcal/mol of atoms
VASP energy ... -14.431 eV/cell

---

(2)
## CaTb2AlN (PBE)

Data for an optimized crystal structure of CaTb2AlN.

Geometry as POSCAR:
```
CaTb2AlN
1.0
4.8180 0.0000 0.0000
0.0000 4.8353 0.0000
0.0000 0.0000 4.8353
Ca Tb Al N
1 2 1 1
Cartesian
2.4090 0.0000 0.0000
0.0000 0.0000 2.4177
0.0000 2.4177 0.0000
2.4090 2.4177 2.4177
0.0000 0.0000 0.0000
```

Values from the calculation:
Uncorrected formation energy ... -18.39 kcal/mol of atoms
VASP energy ... -27.318 eV/cell